# TbEuAgPt

A geometry-optimized TbEuAgPt structure (PBE, the Alexandria database).

Its space-group type is F-43m (216). As for the uncorrected energy: -6.60 eV/atom. As for the density of states at the Fermi level: 8.5 states/eV/cell. The total magnetic moment is 7.030 μB/f.u.

```
TbEuAgPt
1.0
5.1104 0.0000 0.0000
2.5552 4.4258 0.0000
2.5552 1.4753 4.1727
Eu Pt Ag Tb
1 1 1 1
direct
0.2500 0.2500 0.2500
0.0000 0.0000 0.0000
0.5000 0.5000 0.5000
0.7500 0.7500 0.7500
```

***

# MgTaCd4

A geometry-optimized MgTaCd4 structure (PBE, the Alexandria database).

Its space-group type is F-43m (216). As for the uncorrected energy: -2.40 eV/atom. As for the density of states at the Fermi level: 5.9 states/eV/cell. The total magnetic moment is 2.007 μB/f.u.

```
MgTaCd4
1.0
0.0000 3.9962 3.9962
3.9962 0.0000 3.9962
3.9962 3.9962 0.0000
Ta Cd Mg
1 4 1
direct
0.0000 0.0000 0.0000
0.3744 0.3744 0.3744
0.8767 0.3744 0.3744
0.3744 0.3744 0.8767
0.3744 0.8767 0.3744
0.7500 0.7500 0.7500
```

***

# TlW3

A geometry-optimized TlW3 structure (PBE, the Alexandria database).

Its space-group type is P6_3/mmc (194). Its polymorph energy (0 for the lowest one) is 55 meV/atom. As for the density of states at the Fermi level: 2.2 states/eV/cell. The total magnetic moment is 0.000 μB/f.u.

```
TlW3
1.0
-2.2596 1.8376 5.1835
0.7891 -5.8064 -1.0076
4.2934 0.2756 1.7739
W Tl
6 2
direct
0.8504 0.7008 0.2500
0.8504 0.1496 0.2500
0.2992 0.1496 0.2500
0.7008 0.8504 0.7500
0.1496 0.8504 0.7500
0.1496 0.2992 0.7500
0.6667 0.3333 0.7500
0.3333 0.6667 0.2500
```

***

# BiSeBr2

A geometry-optimized BiSeBr2 structure (PBE, the Alexandria database).

Its space-group type is R-3m (166). Its polymorph energy (0 for the lowest one) is 543 meV/atom. As for the density of states at the Fermi level: 3.2 states/eV/cell. The total magnetic moment is 0.474 μB/f.u. For the energy relative to the elements, uncorrected, the calculation gives 0.26 eV per atom.

```
BiSeBr2
1.0
2.0494 0.0000 10.4420
-1.0247 1.7748 10.4420
-1.0247 -1.7748 10.4420
Br Bi Se
2 1 1
direct
0.9098 0.9098 0.9098
0.0902 0.0902 0.0902
0.0000 0.0000 0.0000
0.5000 0.5000 0.5000
```

***

# Y4TaRe

A geometry-optimized Y4TaRe structure (PBE, the Alexandria database).

Its space-group type is F-43m (216). As for the uncorrected energy: -7.19 eV/atom. As for the density of states at the Fermi level: 10.6 states/eV/cell. The total magnetic moment is 0.086 μB/f.u.

```
Y4TaRe
1.0
0.0000 4.1863 4.1863
4.1863 0.0000 4.1863
4.1863 4.1863 0.0000
Y Re Ta
4 1 1
direct
0.8743 0.3752 0.3752
0.3752 0.8743 0.3752
0.3752 0.3752 0.8743
0.3752 0.3752 0.3752
0.7500 0.7500 0.7500
0.0000 0.0000 0.0000
```

***

# YCd2Cl

A geometry-optimized YCd2Cl structure (PBE, the Alexandria database).

Its space-group type is Fm-3m (225). Its polymorph energy (0 for the lowest one) is 554 meV/atom. As for the density of states at the Fermi level: 5.6 states/eV/cell. The total magnetic moment is 0.000 μB/f.u. For the energy relative to the elements, uncorrected, the calculation gives -0.09 eV per atom.

```
YCd2Cl
1.0
4.9180 1.8446 0.7928
0.9118 3.5752 3.8215
2.6913 -1.4008 4.3603
Y Cd Cl
1 2 1
direct
0.5000 0.5000 0.5000
0.2500 0.2500 0.2500
0.7500 0.7500 0.7500
0.0000 0.0000 0.0000
```

***

# AlCuSiNi

A geometry-optimized AlCuSiNi structure (PBE, the Alexandria database).

Its space-group type is F-43m (216). As for the density of states at the Fermi level: 2.5 states/eV/cell. The total magnetic moment is 0.000 μB/f.u. For the energy relative to the elements, uncorrected, the calculation gives -0.18 eV per atom.

```
AlCuSiNi
1.0
-0.6526 -3.7032 1.6715
-0.4204 -3.3035 -2.4175
2.9586 -2.8580 -0.1114
Cu Al Si Ni
1 1 1 1
direct
0.5000 0.5000 0.5000
0.2500 0.2500 0.2500
0.7500 0.7500 0.7500
0.0000 0.0000 0.0000
```

***

# PuSc2Hg

A geometry-optimized PuSc2Hg structure (PBE, the Alexandria database).

Its space-group type is P4/mmm (123). Its polymorph energy (0 for the lowest one) is 52 meV/atom. As for the density of states at the Fermi level: 8.3 states/eV/cell. The total magnetic moment is 6.449 μB/f.u.

```
PuSc2Hg
1.0
-0.8241 3.2475 0.7901
-3.3272 -1.7000 3.5175
3.7086 0.0784 3.5458
Hg Sc Pu
1 2 1
direct
0.5000 0.0000 0.0000
0.0000 0.0000 0.5000
0.0000 0.5000 0.0000
0.5000 0.5000 0.5000
```

***

# Dy3Er2Tm3

A geometry-optimized Dy3Er2Tm3 structure (PBE, the Alexandria database).

Its space-group type is R32 (155). As for the uncorrected energy: -4.39 eV/atom. As for the density of states at the Fermi level: 12.8 states/eV/cell. The total magnetic moment is 0.000 μB/f.u.

```
Dy3Er2Tm3
1.0
6.3401 -0.3179 0.3111
-0.3107 6.3405 0.3111
0.3182 0.3179 6.3398
Er Dy Tm
2 3 3
direct
0.8036 0.8036 0.1964
0.1964 0.1964 0.8036
0.0000 0.3111 0.3111
0.3111 0.6889 0.0000
0.6889 0.0000 0.6889
0.7874 0.5000 0.7874
0.2126 0.7874 0.5000
0.5000 0.2126 0.2126
```

***

# AgMoAs2

A geometry-optimized AgMoAs2 structure (PBE, the Alexandria database).

Its space-group type is I-4m2 (119). Its polymorph energy (0 for the lowest one) is 361 meV/atom. As for the density of states at the Fermi level: 3.0 states/eV/cell. The total magnetic moment is 0.872 μB/f.u.

```
AgMoAs2
1.0
5.4172 0.0121 0.0000
2.6942 4.6997 0.0000
-4.0557 -2.3559 2.7105
Ag As Mo
1 2 1
direct
0.7500 0.2500 0.5000
0.2500 0.7500 0.5000
0.0000 0.0000 0.0000
0.5000 0.5000 0.0000
```

***

# Ba2TaRh

A geometry-optimized Ba2TaRh structure (PBE, the Alexandria database).

Its space-group type is Imm2 (44). Its polymorph energy (0 for the lowest one) is 149 meV/atom. As for the density of states at the Fermi level: 6.5 states/eV/cell. The total magnetic moment is 0.006 μB/f.u.

```
Ba2TaRh
1.0
5.0960 -4.4859 -1.0282
6.6573 -0.9972 -1.3549
3.2057 -1.0055 4.5820
Ba Rh Ta
2 1 1
direct
0.7762 0.7762 0.7234
0.9877 0.9877 0.0123
0.5550 0.5550 0.4455
0.1810 0.1810 0.3187
```